[1]
This record from the Alexandria database describes a relaxed Ac3InSe6 crystal. The functional is PBE. Values from VASP.

Quantum ESPRESSO input file:
```
&SYSTEM
  ibrav = 0, nat = 20, ntyp = 3
/
ATOMIC_SPECIES
Se 78.96 Se.upf
Ac 227.00 Ac.upf
In 114.82 In.upf
CELL_PARAMETERS angstrom
7.330 0.000 0.000
0.000 9.681 0.015
0.000 -2.146 9.440
ATOMIC_POSITIONS crystal
Se 0.690 0.317 0.362
Se 0.167 0.035 0.965
Se 0.667 0.965 0.035
Se 0.199 0.097 0.568
Se 0.690 0.638 0.683
Se 0.190 0.362 0.317
Se 0.699 0.568 0.097
Se 0.190 0.683 0.638
Se 0.666 0.218 0.782
Se 0.699 0.903 0.432
Se 0.166 0.782 0.218
Se 0.199 0.432 0.903
Ac 0.976 0.085 0.287
Ac 0.976 0.713 0.915
Ac 0.404 0.398 0.602
Ac 0.476 0.915 0.713
Ac 0.476 0.287 0.085
Ac 0.904 0.602 0.398
In 0.519 0.803 0.197
In 0.019 0.197 0.803
```

Summary:
- Uncorrected formation energy: -1.68 eV/atom
- Calculated density: 6.29 Mg/m³

---

[2]
This record from the Alexandria database describes a relaxed NdAsO crystal. The functional is PBE. Values from VASP.

Quantum ESPRESSO input file:
```
&SYSTEM
  ibrav = 0, nat = 12, ntyp = 3
/
ATOMIC_SPECIES
As 74.92 As.upf
O 16.00 O.upf
Nd 144.24 Nd.upf
CELL_PARAMETERS angstrom
3.821 0.000 0.000
0.000 8.245 0.000
0.000 0.000 7.046
ATOMIC_POSITIONS crystal
As 0.250 0.480 0.117
As 0.750 0.520 0.883
As 0.750 0.020 0.617
As 0.250 0.980 0.383
O 0.750 0.879 0.091
O 0.250 0.121 0.909
O 0.750 0.379 0.409
O 0.250 0.621 0.591
Nd 0.250 0.826 0.903
Nd 0.750 0.674 0.403
Nd 0.750 0.174 0.097
Nd 0.250 0.326 0.597
```

Summary:
- Uncorrected formation energy: -2.08 eV/atom
- Calculated density: 7.04 Mg/m³

---

[3]
This record from the Alexandria database describes a relaxed HgSbC3 crystal. The functional is PBE. Values from VASP.

Quantum ESPRESSO input file:
```
&SYSTEM
  ibrav = 0, nat = 5, ntyp = 3
/
ATOMIC_SPECIES
C 12.01 C.upf
Hg 200.59 Hg.upf
Sb 121.76 Sb.upf
CELL_PARAMETERS angstrom
4.311 0.000 0.000
0.000 4.311 0.000
0.000 0.000 4.311
ATOMIC_POSITIONS crystal
C 0.000 0.500 0.000
C 0.500 0.000 0.000
C 0.000 0.000 0.500
Hg 0.500 0.500 0.500
Sb 0.000 0.000 0.000
```

Summary:
- Uncorrected formation energy: 2.87 eV/atom
- Energy above the most stable polymorph in this dataset: 0 meV/atom
- Calculated density: 7.43 Mg/m³

---

[4]
This record from the Alexandria database describes a relaxed RbNaSn2 crystal. The functional is PBE. Values from VASP.

Quantum ESPRESSO input file:
```
&SYSTEM
  ibrav = 0, nat = 4, ntyp = 3
/
ATOMIC_SPECIES
Sn 118.71 Sn.upf
Na 22.99 Na.upf
Rb 85.47 Rb.upf
CELL_PARAMETERS angstrom
5.596 0.000 0.000
-2.798 4.219 -1.335
0.000 -1.295 7.091
ATOMIC_POSITIONS crystal
Sn 0.273 0.546 0.822
Sn 0.940 0.880 0.832
Na 0.531 0.062 0.623
Rb 0.756 0.512 0.222
```

Summary:
- Energy above the most stable polymorph in this dataset: 60 meV/atom
- Calculated density: 3.64 Mg/m³
- Formation enthalpy at 0 K: -112.3 meV/atom

---

[5]
This record from the Alexandria database describes a relaxed Ba3Mg4Cd2 crystal. The functional is PBE. Values from VASP.

Quantum ESPRESSO input file:
```
&SYSTEM
  ibrav = 0, nat = 9, ntyp = 3
/
ATOMIC_SPECIES
Cd 112.41 Cd.upf
Mg 24.30 Mg.upf
Ba 137.33 Ba.upf
CELL_PARAMETERS angstrom
5.434 0.000 0.000
-2.717 6.170 -0.563
0.000 -3.502 9.620
ATOMIC_POSITIONS crystal
Cd 0.355 0.711 0.692
Cd 0.645 0.289 0.308
Mg 0.726 0.452 0.067
Mg 0.093 0.186 0.418
Mg 0.907 0.814 0.582
Mg 0.274 0.548 0.933
Ba 0.000 0.000 0.000
Ba 0.353 0.705 0.321
Ba 0.647 0.295 0.679
```

Summary:
- Calculated density: 3.91 Mg/m³
- Formation enthalpy at 0 K: -126.0 meV/atom

---

[6]
This record from the Alexandria database describes a relaxed TlSiC2 crystal. The functional is PBE. Values from VASP.

Quantum ESPRESSO input file:
```
&SYSTEM
  ibrav = 0, nat = 4, ntyp = 3
/
ATOMIC_SPECIES
Si 28.09 Si.upf
C 12.01 C.upf
Tl 204.38 Tl.upf
CELL_PARAMETERS angstrom
0.992 1.864 3.663
-0.595 4.158 0.486
-3.062 1.413 2.550
ATOMIC_POSITIONS crystal
Si 0.000 0.000 0.000
C 0.250 0.250 0.250
C 0.750 0.750 0.750
Tl 0.500 0.500 0.500
```

Summary:
- Uncorrected formation energy: 2.51 eV/atom
- Energy above the most stable polymorph in this dataset: 1571 meV/atom
- Calculated density: 7.97 Mg/m³

---

[7]
This record from the Alexandria database describes a relaxed BaRh3 crystal. The functional is PBE. Values from VASP.

Quantum ESPRESSO input file:
```
&SYSTEM
  ibrav = 0, nat = 16, ntyp = 2
/
ATOMIC_SPECIES
Rh 102.91 Rh.upf
Ba 137.33 Ba.upf
CELL_PARAMETERS angstrom
-5.232 3.647 -0.172
-4.109 -6.014 -2.519
-1.442 -1.758 6.550
ATOMIC_POSITIONS crystal
Rh 0.569 0.353 0.065
Rh 0.569 0.353 0.435
Rh 0.840 0.148 0.250
Rh 0.340 0.352 0.750
Rh 0.660 0.648 0.250
Rh 0.431 0.647 0.565
Rh 0.431 0.647 0.935
Rh 0.069 0.147 0.935
Rh 0.931 0.853 0.065
Rh 0.931 0.853 0.435
Rh 0.160 0.852 0.750
Rh 0.069 0.147 0.565
Ba 0.874 0.518 0.750
Ba 0.126 0.482 0.250
Ba 0.626 0.018 0.750
Ba 0.374 0.982 0.250
```

Summary:
- Calculated density: 8.69 Mg/m³
- Formation enthalpy at 0 K: 67.7 meV/atom

---

[8]
This record from the Alexandria database describes a relaxed AlInOsPd2 crystal. The functional is PBE. Values from VASP.

Quantum ESPRESSO input file:
```
&SYSTEM
  ibrav = 0, nat = 5, ntyp = 4
/
ATOMIC_SPECIES
Pd 106.42 Pd.upf
In 114.82 In.upf
Os 190.23 Os.upf
Al 26.98 Al.upf
CELL_PARAMETERS angstrom
-2.405 4.064 -0.846
-1.584 -1.803 -4.154
-3.975 -1.868 2.327
ATOMIC_POSITIONS crystal
Pd 0.500 0.000 0.000
Pd 0.000 0.500 0.000
In 0.000 0.000 0.000
Os 0.000 0.000 0.500
Al 0.500 0.500 0.500
```

Summary:
- Calculated density: 7.91 Mg/m³
- Formation enthalpy at 0 K: 1325.3 meV/atom

---

[9]
This record from the Alexandria database describes a relaxed Hg3SbH2 crystal. The functional is PBE. Values from VASP.

Quantum ESPRESSO input file:
```
&SYSTEM
  ibrav = 0, nat = 6, ntyp = 3
/
ATOMIC_SPECIES
Hg 200.59 Hg.upf
H 1.01 H.upf
Sb 121.76 Sb.upf
CELL_PARAMETERS angstrom
4.508 -0.040 0.134
-0.123 5.877 -1.580
0.236 -1.490 5.148
ATOMIC_POSITIONS crystal
Hg 0.500 0.500 0.000
Hg 0.953 0.215 0.430
Hg 0.047 0.785 0.570
H 0.804 0.613 0.233
H 0.196 0.387 0.767
Sb 0.500 0.000 0.000
```

Summary:
- Calculated density: 9.59 Mg/m³
- Energy: -1.68 eV per atom

---

[10]
This record from the Alexandria database describes a relaxed Rb2In7Sb crystal. The functional is PBE. Values from VASP.

Quantum ESPRESSO input file:
```
&SYSTEM
  ibrav = 0, nat = 10, ntyp = 3
/
ATOMIC_SPECIES
In 114.82 In.upf
Rb 85.47 Rb.upf
Sb 121.76 Sb.upf
CELL_PARAMETERS angstrom
-4.557 2.024 -1.234
-1.293 -4.364 -2.381
-4.841 -4.391 10.675
ATOMIC_POSITIONS crystal
In 0.500 0.000 0.370
In 0.500 0.000 0.135
In 0.000 0.000 0.500
In 0.500 0.500 0.500
In 0.000 0.500 0.630
In 0.000 0.500 0.865
In 0.000 0.000 0.000
Rb 0.000 0.500 0.248
Rb 0.500 0.000 0.752
Sb 0.500 0.500 0.000
```

Summary:
- Uncorrected formation energy: -0.13 eV/atom
- Calculated density: 5.51 Mg/m³

---

[11]
This record from the Alexandria database describes a relaxed TiAlNi5 crystal. The functional is PBE. Values from VASP.

Quantum ESPRESSO input file:
```
&SYSTEM
  ibrav = 0, nat = 14, ntyp = 3
/
ATOMIC_SPECIES
Ni 58.69 Ni.upf
Al 26.98 Al.upf
Ti 47.87 Ti.upf
CELL_PARAMETERS angstrom
5.875 -1.011 -0.145
0.905 5.892 -0.145
2.275 1.638 5.384
ATOMIC_POSITIONS crystal
Ni 0.543 0.855 0.366
Ni 0.383 0.831 0.038
Ni 0.855 0.543 0.866
Ni 0.831 0.383 0.538
Ni 0.201 0.799 0.750
Ni 0.169 0.617 0.462
Ni 0.617 0.169 0.962
Ni 0.799 0.201 0.250
Ni 0.457 0.145 0.634
Ni 0.145 0.457 0.134
Al 0.000 0.000 0.000
Al 0.000 0.000 0.500
Ti 0.522 0.478 0.250
Ti 0.478 0.522 0.750
```

Summary:
- Energy above the most stable polymorph in this dataset: 332 meV/atom
- Calculated density: 6.28 Mg/m³
- Formation enthalpy at 0 K: 7.6 meV/atom